No. 1
Here is crystalline TlRh2Au2 at its relaxed geometry from Alexandria. Energies are from PBE-GGA.

Values from the calculation:
Crystal system: tetragonal
Calculated volume in A^3/atom: 18.6
Electronic total energy in eV per atom: -4.52
Space group: P4/mbm
Distance to the lowest polymorph of the same formula in eV per formula unit: 0.00
E_form in meV/atom: 200.5

a b c (Å): 7.0083 7.0083 3.7787
angles (deg): 90.00 90.00 90.00
With the nearest neighbours (Å) after each atom.
Sites, in units of the cell vectors:
1 Au 0.8382 0.3382 0.5000  6 Rh 2.77-2.81
2 Au 0.3382 0.1618 0.5000  6 Rh 2.77-2.81
3 Au 0.1618 0.6618 0.5000  6 Rh 2.77-2.81
4 Au 0.6618 0.8382 0.5000  6 Rh 2.77-2.81
5 Rh 0.6334 0.1334 0.0000  1 Rh 2.64, 2 Tl 2.73, 6 Au 2.77-2.81
6 Rh 0.3666 0.8666 0.0000  1 Rh 2.64, 2 Tl 2.73, 6 Au 2.77-2.81
7 Rh 0.1334 0.3666 0.0000  1 Rh 2.64, 2 Tl 2.73, 6 Au 2.77-2.81
8 Rh 0.8666 0.6334 0.0000  1 Rh 2.64, 2 Tl 2.73, 6 Au 2.77-2.81
9 Tl 0.0000 0.0000 0.0000  4 Rh 2.73
10 Tl 0.5000 0.5000 0.0000  4 Rh 2.73

***

No. 2
Here is crystalline ScReOs2 at its relaxed geometry from Alexandria. Energies are from PBE-GGA.

Values from the calculation:
Crystal system: trigonal
Calculated volume in A^3/atom: 15.7
Electronic total energy in eV per atom: -10.17
Space group: R-3m
E_form in meV/atom: 144.1

a b c (Å): 9.1799 9.1799 9.1799
angles (deg): 17.76 17.76 17.76
With the nearest neighbours (Å) after each atom.
Sites, in units of the cell vectors:
1 Os 0.5039 0.5039 0.5039  3 Re 2.70, 6 Os 2.83, 3 Sc 2.88
2 Os 0.9961 0.9961 0.9961  3 Re 2.70, 6 Os 2.83, 3 Sc 2.88
3 Re 0.2500 0.2500 0.2500  6 Os 2.70, 6 Re 2.83
4 Sc 0.7500 0.7500 0.7500  6 Sc 2.83, 6 Os 2.88

***

No. 3
Here is crystalline TlPd2Cl at its relaxed geometry from Alexandria. Energies are from PBE-GGA.

Values from the calculation:
Crystal system: cubic
Formation energy (no corrections) in eV/atom: 0.00
Calculated volume in A^3/atom: 18.7
Electronic total energy in eV per atom: -3.65
Space group: Fm-3m
Distance to the lowest polymorph of the same formula in eV per formula unit: 0.02

a b c (Å): 4.7312 4.7312 4.7312
angles (deg): 60.00 60.00 60.00
With the nearest neighbours (Å) after each atom.
Sites, in units of the cell vectors:
1 Cl 0.0000 0.0000 0.0000  8 Pd 2.90
2 Pd 0.2500 0.2500 0.2500  4 Tl 2.90, 4 Cl 2.90
3 Pd 0.7500 0.7500 0.7500  4 Tl 2.90, 4 Cl 2.90
4 Tl 0.5000 0.5000 0.5000  8 Pd 2.90

***

No. 4
Here is crystalline PtPb2 at its relaxed geometry from Alexandria. Energies are from PBE-GGA.

Values from the calculation:
Crystal system: hexagonal
Calculated volume in A^3/atom: 24.9
Electronic total energy in eV per atom: -4.10
Space group: P6/mmm
E_form in meV/atom: 381.0

a b c (Å): 5.2709 5.2709 3.1069
angles (deg): 90.00 90.00 120.00
With the nearest neighbours (Å) after each atom.
Sites, in units of the cell vectors:
1 Pb 0.6667 0.3333 0.5000  5 Pb 3.04-3.11
2 Pb 0.3333 0.6667 0.5000  5 Pb 3.04-3.11
3 Pt 0.0000 0.0000 0.0000  2 Pt 3.11, 12 Pb 3.42

***

Sequential theoretical density output: 14.4, 16.2, 10.0, 13.5 g/cm³